Entry from Alexandria: an optimized crystal structure of AcPu2WO8 (PBE with a Hubbard U).

abc: 5.1129 7.0976 5.1140
angles: 90.00 91.09 90.00
Positions (direct):
Ac 0.0000 0.0000 0.0000
Pu 0.5000 0.2589 0.5000
Pu 0.5000 0.7411 0.5000
W 0.0000 0.5000 0.0000
O 0.1935 0.2908 0.1956
O 0.1935 0.7092 0.1956
O 0.2757 0.5000 0.7258
O 0.3323 0.0000 0.6719
O 0.6677 0.0000 0.3281
O 0.7243 0.5000 0.2742
O 0.8065 0.2908 0.8044
O 0.8065 0.7092 0.8044

The calculation puts the spin magnetization at 0.750 μB per atom. The total energy comes out at -112.81 eV per cell. Its space group is P2/m. As for the calculated volume: 15.5 Å³/atom. Its density of states at the Fermi level is 12.12 states/eV/cell.